(A)
Density functional theory data (SCAN) for a PBEsol-optimized structure of SrHgSbI2.

Its calculated volume is 252.7 Å³/cell. The density of states at the Fermi level is 3.06 states/eV/cell. For the magnetization, the calculation gives 2.9 μB per cell. Its calculated density is 4.4 g/cm3.

The structure belongs to space group P4/mmm (No. 123); the cell edges are 6.198, 6.198 and 6.578 Å and the angles 90.00°, 90.00° and 90.00°. The distinct sites, in fractional coordinates, are Sr at (0.000, 0.000, 0.000), Hg at (0.500, 0.500, 0.500), Sb at (0.000, 0.000, 0.500) and I at (0.000, 0.500, 0.000).

***

(B)
Density functional theory data (SCAN) for a PBEsol-optimized structure of SrHgSbI2.

Its calculated volume is 187.7 Å³/cell. The density of states at the Fermi level is 3.88 states/eV/cell. For the magnetization, the calculation gives 1.0 μB per cell. Its calculated density is 5.9 g/cm3.

The structure belongs to space group P4/mmm (No. 123); the cell edges are 5.794, 5.794 and 5.590 Å and the angles 90.00°, 90.00° and 90.00°. The distinct sites, in fractional coordinates, are Sr at (0.000, 0.000, 0.000), Hg at (0.500, 0.500, 0.500), Sb at (0.500, 0.500, 0.000) and I at (0.000, 0.500, 0.500).

***

Stability, highest: (A)

***

(A)
Density functional theory data (SCAN) for a PBEsol-optimized structure of In3Hg2.

Its calculated volume is 369.0 Å³/cell. The density of states at the Fermi level is 5.75 states/eV/cell. For the magnetization, the calculation gives 0.0 μB per cell. Its calculated density is 10.1 g/cm3.

The structure belongs to space group R-3m (No. 166, hexagonal axes); the cell edges are 3.6056, 3.6056 and 32.7721 Å and the angles 90.00°, 90.00° and 120.00°. The distinct sites, in fractional coordinates, are In at (0.0000, 0.0000, 0.0000), In at (0.0000, 0.0000, 0.2022) and Hg at (0.0000, 0.0000, 0.3991).

***

(B)
Density functional theory data (SCAN) for a PBEsol-optimized structure of In3Hg2.

Its calculated volume is 130.5 Å³/cell. The density of states at the Fermi level is 1.94 states/eV/cell. For the magnetization, the calculation gives 0.0 μB per cell. Its calculated density is 9.5 g/cm3.

The structure belongs to space group P-3m1 (No. 164); the cell edges are 4.6442, 4.6442 and 6.9862 Å and the angles 90.00°, 90.00° and 120.00°. The distinct sites, in fractional coordinates, are In at (0.0000, 0.0000, 0.0000), In at (0.3333, 0.6667, 0.3628) and Hg at (0.3333, 0.6667, 0.8074).

***

Stability, highest: (A)

***

(A)
Density functional theory data (SCAN) for a PBEsol-optimized structure of In5Hg.

Its calculated volume is 300.1 Å³/cell. The density of states at the Fermi level is 5.15 states/eV/cell. For the magnetization, the calculation gives 0.0 μB per cell. Its calculated density is 8.6 g/cm3.

The structure belongs to space group Cm (No. 8); the cell edges are 11.950, 3.447 and 7.665 Å and the angles 90.00°, 108.10° and 90.00°. The distinct sites, in fractional coordinates, are In at (0.000, 0.000, 0.000), In at (0.019, 0.000, 0.567), In at (0.165, 0.500, 0.348), In at (0.199, 0.500, 0.890), In at (0.359, 0.000, 0.228) and Hg at (0.330, 0.000, 0.673).

***

(B)
Density functional theory data (SCAN) for a PBEsol-optimized structure of In5Hg.

Its calculated volume is 148.3 Å³/cell. The density of states at the Fermi level is 2.59 states/eV/cell. For the magnetization, the calculation gives 0.0 μB per cell. Its calculated density is 8.7 g/cm3.

The structure belongs to space group P4/mmm (No. 123); the cell edges are 3.347, 3.347 and 13.241 Å and the angles 90.00°, 90.00° and 90.00°. The distinct sites, in fractional coordinates, are In at (0.000, 0.000, 0.000), In at (0.000, 0.000, 0.342), In at (0.500, 0.500, 0.170) and Hg at (0.500, 0.500, 0.500).

***

Stability, highest: (B)

***

(A)
Density functional theory data (SCAN) for a PBEsol-optimized structure of InHgIr2.

Its calculated volume is 133.8 Å³/cell. The density of states at the Fermi level is 8.07 states/eV/cell. For the magnetization, the calculation gives 0.0 μB per cell. Its calculated density is 17.4 g/cm3.

The structure belongs to space group I-4m2 (No. 119); the cell edges are 4.054, 4.054 and 8.139 Å and the angles 90.00°, 90.00° and 90.00°. The distinct sites, in fractional coordinates, are In at (0.000, 0.000, 0.000), Hg at (0.000, 0.500, 0.750), Ir at (0.000, 0.000, 0.500) and Ir at (0.000, 0.500, 0.250).

***

(B)
Density functional theory data (SCAN) for a PBEsol-optimized structure of InHgIr2.

Its calculated volume is 69.8 Å³/cell. The density of states at the Fermi level is 4.83 states/eV/cell. For the magnetization, the calculation gives 0.0 μB per cell. Its calculated density is 16.6 g/cm3.

The structure belongs to space group P4mm (No. 99); the cell edges are 2.879, 2.879 and 8.424 Å and the angles 90.00°, 90.00° and 90.00°. The distinct sites, in fractional coordinates, are In at (0.000, 0.000, 0.000), Hg at (0.500, 0.500, 0.692), Ir at (0.000, 0.000, 0.443) and Ir at (0.500, 0.500, 0.239).

***

Stability, highest: (B)

***

(A)
Density functional theory data (SCAN) for a PBEsol-optimized structure of KInHg.

Its calculated volume is 185.0 Å³/cell. The density of states at the Fermi level is 2.00 states/eV/cell. For the magnetization, the calculation gives 0.0 μB per cell. Its calculated density is 6.4 g/cm3.

The structure belongs to space group I4mm (No. 107); the cell edges are 3.911, 3.911 and 12.091 Å and the angles 90.00°, 90.00° and 90.00°. The distinct sites, in fractional coordinates, are K at (0.000, 0.000, 0.000), In at (0.000, 0.000, 0.293) and Hg at (0.000, 0.000, 0.700).

***

(B)
Density functional theory data (SCAN) for a PBEsol-optimized structure of KInHg.

Its calculated volume is 84.5 Å³/cell. The density of states at the Fermi level is 1.51 states/eV/cell. For the magnetization, the calculation gives 0.0 μB per cell. Its calculated density is 7.0 g/cm3.

The structure belongs to space group P-6m2 (No. 187); the cell edges are 5.2729, 5.2729 and 3.5091 Å and the angles 90.00°, 90.00° and 120.00°. The distinct sites, in fractional coordinates, are K at (0.0000, 0.0000, 0.0000), In at (0.6667, 0.3333, 0.5000) and Hg at (0.3333, 0.6667, 0.5000).

***

Stability, highest: (B)

***

(A)
Density functional theory data (SCAN) for a PBEsol-optimized structure of K2InHg.

Its calculated volume is 285.3 Å³/cell. The density of states at the Fermi level is 4.57 states/eV/cell. For the magnetization, the calculation gives 0.0 μB per cell. Its calculated density is 4.6 g/cm3.

The structure belongs to space group Imm2 (No. 44); the cell edges are 4.477, 5.962 and 10.688 Å and the angles 90.00°, 90.00° and 90.00°. The distinct sites, in fractional coordinates, are K at (0.000, 0.000, 0.000), K at (0.000, 0.500, 0.199), In at (0.000, 0.000, 0.422) and Hg at (0.000, 0.500, 0.762).

***

(B)
Density functional theory data (SCAN) for a PBEsol-optimized structure of K2InHg.

Its calculated volume is 153.0 Å³/cell. The density of states at the Fermi level is 2.57 states/eV/cell. For the magnetization, the calculation gives 0.0 μB per cell. Its calculated density is 4.3 g/cm3.

The structure belongs to space group P4mm (No. 99); the cell edges are 3.974, 3.974 and 9.685 Å and the angles 90.00°, 90.00° and 90.00°. The distinct sites, in fractional coordinates, are K at (0.000, 0.000, 0.000), K at (0.500, 0.500, 0.397), In at (0.500, 0.500, 0.755) and Hg at (0.000, 0.000, 0.632).

***

Stability, highest: (A)

***

(A)
Density functional theory data (SCAN) for a PBEsol-optimized structure of KIn2Hg2.

Its calculated volume is 277.8 Å³/cell. The density of states at the Fermi level is 4.17 states/eV/cell. For the magnetization, the calculation gives 0.0 μB per cell. Its calculated density is 8.0 g/cm3.

The structure belongs to space group I4/mmm (No. 139); the cell edges are 4.648, 4.648 and 12.856 Å and the angles 90.00°, 90.00° and 90.00°. The distinct sites, in fractional coordinates, are K at (0.000, 0.000, 0.000), In at (0.000, 0.500, 0.250) and Hg at (0.000, 0.000, 0.391).

***

(B)
Density functional theory data (SCAN) for a PBEsol-optimized structure of KIn2Hg2.

Its calculated volume is 265.6 Å³/cell. The density of states at the Fermi level is 3.42 states/eV/cell. For the magnetization, the calculation gives 0.0 μB per cell. Its calculated density is 8.4 g/cm3.

The structure belongs to space group P4/mbm (No. 127); the cell edges are 9.013, 9.013 and 3.269 Å and the angles 90.00°, 90.00° and 90.00°. The distinct sites, in fractional coordinates, are K at (0.000, 0.000, 0.000), In at (0.143, 0.357, 0.500) and Hg at (0.152, 0.652, 0.000).

***

Stability, highest: (A)